# 1
LiFeCu2: optimized geometry, PBE.

```
LiFeCu2
1.0
2.602 0.000 0.000
0.000 4.340 0.000
0.000 0.000 4.309
Cu Fe Li
2 1 1
Direct
0.000 0.000 0.000
0.500 0.500 0.000
0.500 0.000 0.500
0.000 0.500 0.500
```

Energy of formation, kJ/mol of atoms: 20.4

---

# 2
MgScTlAu: optimized geometry, PBE.

```
MgScTlAu
1.0
4.892 0.000 0.000
2.446 4.237 0.000
2.446 1.412 3.994
Sc Tl Au Mg
1 1 1 1
Direct
0.250 0.250 0.250
0.500 0.500 0.500
0.000 0.000 0.000
0.750 0.750 0.750
```

Energy of formation, kJ/mol of atoms: -42.7